## HfBiPt2 (PBE-GGA)

Data for an optimized crystal structure of HfBiPt2.

Unit cell a=7.4578 b=7.4578 c=7.4578 alpha=131.60 beta=131.60 gamma=70.86
Atoms (fractional coordinates):
Hf 0.0000 0.0000 0.0000
Hf 0.7500 0.2500 0.5000
Bi 0.2500 0.7500 0.5000
Bi 0.5000 0.5000 0.0000
Pt 0.1094 0.6250 0.9844
Pt 0.3750 0.3594 0.4844
Pt 0.6406 0.1250 0.0156
Pt 0.8750 0.8906 0.5156

Calculated values
Its formation energy is -0.57 eV per formula unit. Its raw total energy is -52.98 eV/cell. The total moment comes out at 0.00 μB per formula unit.